Here is an optimized crystal structure of Nd6Zn2Cu from Alexandria via LeMat-Bulk. Energies are from PBE.

Computed properties:
D(E_F) in states/eV/f.u.: 9.7
ΔE_f in eV per atom: -0.088
Symmetry: P2_1/c
Uncorrected energy in eV per cell: -72.09

```
18
Lattice="6.410 0.000 0.000 0.000 9.430 0.000 -4.331 0.000 8.518" Properties=species:S:1:pos:R:3 pbc="T T T"
Nd -1.555 1.669 4.110
Nd -3.720 3.046 8.369
Nd 0.306 6.465 3.852
Nd -1.860 7.679 8.111
Nd 1.355 0.273 2.466
Nd -0.810 4.442 6.725
Nd 2.890 4.988 1.794
Nd 0.724 9.157 6.053
Nd 3.939 1.750 0.408
Nd 1.774 2.964 4.667
Nd 5.800 6.383 0.149
Nd 3.634 7.761 4.408
Zn -2.600 0.817 6.710
Zn -0.435 3.898 2.451
Zn 2.514 5.532 6.067
Zn 4.679 8.613 1.808
Cu 0.000 0.000 0.000
Cu -2.165 4.715 4.259
```